Record 1
The following is a DFT calculation (PBE) of crystalline NaDy6S8 at its relaxed geometry.

Lattice parameters (Å, degrees): 11.6158 11.6158 11.7613 90.00 90.00 120.00
Closest atoms and distances in Å follow each position.
Space group R-3 (No. 148, hexagonal axes)
Symmetry-distinct sites (fractional):
Na (0.0000, 0.0000, 0.0000) x3  2 S 2.70
Dy (0.0008, 0.8182, 0.3711) x18  5 S 2.67-2.78
S (0.0000, 0.0000, 0.2295) x6  3 Dy 2.69, 1 Na 2.70
S (0.0056, 0.7394, 0.5903) x18  4 Dy 2.67-2.78

Output
Magnetic moment   0.0 μB/f.u.
D(E_F)   8.70 states/eV/f.u.
DFT total energy   -5.914 eV/atom

=====

Record 2
The following is a DFT calculation (PBE) of crystalline K2Ga2SnO6 at its relaxed geometry.

Lattice parameters (Å, degrees): 5.8850 5.8850 18.0249 90.00 90.00 120.00
Closest atoms and distances in Å follow each position.
Space group R-3m (No. 166, hexagonal axes)
Symmetry-distinct sites (fractional):
K (0.0000, 0.0000, 0.2005) x6  9 O 2.81-3.13
Ga (0.0000, 0.0000, 0.3960) x6  3 O 1.78
Sn (0.0000, 0.0000, 0.0000) x3  6 O 2.09
O (0.0146, 0.5073, 0.7397) x18  1 Ga 1.78

Output
Magnetic moment   0.0 μB/f.u.
D(E_F)   0.00 states/eV/f.u.
DFT total energy   -5.443 eV/atom

=====

Record 3
The following is a DFT calculation (PBE) of crystalline SrDyZnPd at its relaxed geometry.

Lattice parameters (Å, degrees): 7.3014 7.3014 7.3014 90.00 90.00 90.00
Closest atoms and distances in Å follow each position.
Space group F-43m (No. 216)
Symmetry-distinct sites (fractional):
Sr (0.0000, 0.0000, 0.0000) x4  4 Pd 3.16, 4 Zn 3.16
Dy (0.0000, 0.0000, 0.5000) x4  4 Pd 3.16, 4 Zn 3.16
Zn (0.2500, 0.2500, 0.7500) x4  4 Dy 3.16, 4 Sr 3.16
Pd (0.2500, 0.2500, 0.2500) x4  4 Dy 3.16, 4 Sr 3.16

Output
Energy of formation from the pure elements   -38.2 kJ per mole of atoms
Magnetic moment   0.0 μB/f.u.
D(E_F)   2.99 states/eV/f.u.
DFT total energy   -3.584 eV/atom

=====

Record 4
The following is a DFT calculation (PBE) of crystalline Sc3ZnBi at its relaxed geometry.

Lattice parameters (Å, degrees): 5.0389 5.0389 5.0389 90.00 90.00 90.00
Closest atoms and distances in Å follow each position.
Space group Pm-3m (No. 221)
Symmetry-distinct sites (fractional):
Sc (0.0000, 0.0000, 0.5000) x3  2 Zn 2.52
Zn (0.0000, 0.0000, 0.0000) x1  6 Sc 2.52
Bi (0.5000, 0.5000, 0.5000) x1  12 Sc 3.56

Output
Energy of formation from the pure elements   -12.1 kJ per mole of atoms
Magnetic moment   0.0 μB/f.u.
D(E_F)   1.92 states/eV/f.u.
DFT total energy   -4.955 eV/atom

=====

Record 5
The following is a DFT calculation (PBE) of crystalline Pr6Tl3O at its relaxed geometry.

Lattice parameters (Å, degrees): 11.9897 6.8991 7.3731 90.00 98.83 90.00
Closest atoms and distances in Å follow each position.
Space group C2/m (No. 12)
Symmetry-distinct sites (fractional):
Pr (0.1076, 0.2448, 0.3556) x8  1 O 2.46
Pr (0.1483, 0.0000, 0.8641) x4  1 O 2.98
Tl (0.0000, 0.5000, 0.0000) x2  2 Tl 3.01, 4 Pr 3.26
Tl (0.1687, 0.5000, 0.7376) x4  1 Tl 3.01, 4 Pr 3.31-3.33
O (0.0000, 0.0000, 0.5000) x2  4 Pr 2.46

Output
Magnetic moment   0.0 μB/f.u.
D(E_F)   9.56 states/eV/f.u.
DFT total energy   -4.732 eV/atom

=====

Record 6
The following is a DFT calculation (PBE) of crystalline Ce2HoSi6 at its relaxed geometry.

Lattice parameters (Å, degrees): 7.0450 7.0450 4.0597 90.00 90.00 120.00
Closest atoms and distances in Å follow each position.
Space group P6/mmm (No. 191)
Symmetry-distinct sites (fractional):
Ce (0.3333, 0.6667, 0.0000) x2  12 Si 3.11
Ho (0.0000, 0.0000, 0.0000) x1  12 Si 3.10
Si (0.0000, 0.3326, 0.5000) x6  3 Si 2.34-2.36

Output
Magnetic moment   0.0 μB/f.u.
D(E_F)   8.00 states/eV/f.u.
DFT total energy   -6.068 eV/atom